(1)
Here is NdSm2Ho7 after structural relaxation from the Alexandria database. Energies are from PBE-GGA.

CIF file:
```
data_NdSm2Ho7
_chemical_formula_sum 'Nd2 Sm4 Ho14'
_cell_length_a 8.6090
_cell_length_b 17.4050
_cell_length_c 5.1631
_cell_angle_alpha 90.00
_cell_angle_beta 90.00
_cell_angle_gamma 90.00
_space_group_name_H-M_alt 'C m m m'
_space_group_IT_number 65
_space_group_name_Hall '-C 2 2'
loop_
_atom_site_label
_atom_site_type_symbol
_atom_site_fract_x
_atom_site_fract_y
_atom_site_fract_z
Nd1 Nd 0.0000 0.0000 0.0000
Sm1 Sm 0.0000 0.2987 0.5000
Ho1 Ho 0.0000 0.1973 0.0000
Ho2 Ho 0.0000 0.5000 0.5000
Ho3 Ho 0.1801 0.1085 0.5000
```

Computed properties:
**Raw total energy**: -78.6 eV per cell
**Energy above the lowest structure with this stoichiometry**: 676 meV per atom
**Spin magnetization**: 0.00 μB per formula unit

---

(2)
Here is Nd3Sm3Ho after structural relaxation from the Alexandria database. Energies are from PBE-GGA.

CIF file:
```
data_Nd3Sm3Ho
_chemical_formula_sum 'Nd6 Sm6 Ho2'
_cell_length_a 9.7481
_cell_length_b 9.7481
_cell_length_c 5.8406
_cell_angle_alpha 90.00
_cell_angle_beta 90.00
_cell_angle_gamma 120.00
_space_group_name_H-M_alt 'P 63/m'
_space_group_IT_number 176
_space_group_name_Hall '-P 6c'
loop_
_atom_site_label
_atom_site_type_symbol
_atom_site_fract_x
_atom_site_fract_y
_atom_site_fract_z
Nd1 Nd 0.0950 0.6197 0.2500
Sm1 Sm 0.0466 0.8083 0.7500
Ho1 Ho 0.3333 0.6667 0.7500
```

Computed properties:
**Raw total energy**: -65.7 eV per cell
**Energy above the lowest structure with this stoichiometry**: 0 meV per atom
**Spin magnetization**: 0.00 μB per formula unit

---

(3)
Here is Nd14SmHo after structural relaxation from the Alexandria database. Energies are from PBE-GGA.

CIF file:
```
data_Nd14SmHo
_chemical_formula_sum 'Nd14 Sm1 Ho1'
_cell_length_a 7.3345
_cell_length_b 7.3345
_cell_length_c 10.3722
_cell_angle_alpha 90.00
_cell_angle_beta 90.00
_cell_angle_gamma 90.00
_space_group_name_H-M_alt 'P 4/m m m'
_space_group_IT_number 123
_space_group_name_Hall '-P 4 2'
loop_
_atom_site_label
_atom_site_type_symbol
_atom_site_fract_x
_atom_site_fract_y
_atom_site_fract_z
Nd1 Nd 0.0000 0.0000 0.0000
Nd2 Nd 0.0000 0.5000 0.0000
Nd3 Nd 0.0000 0.5000 0.5000
Nd4 Nd 0.2492 0.2492 0.2517
Nd5 Nd 0.5000 0.5000 0.0000
Sm1 Sm 0.5000 0.5000 0.5000
Ho1 Ho 0.0000 0.0000 0.5000
```

Computed properties:
**Raw total energy**: -75.8 eV per cell
**Spin magnetization**: 0.00 μB per formula unit

---

(4)
Here is NdSm2Ho after structural relaxation from the Alexandria database. Energies are from PBE-GGA.

CIF file:
```
data_NdSm2Ho
_chemical_formula_sum 'Nd4 Sm8 Ho4'
_cell_length_a 8.1424
_cell_length_b 8.1424
_cell_length_c 8.1424
_cell_angle_alpha 90.00
_cell_angle_beta 90.00
_cell_angle_gamma 90.00
_space_group_name_H-M_alt 'F m -3 m'
_space_group_IT_number 225
_space_group_name_Hall '-F 4 2 3'
loop_
_atom_site_label
_atom_site_type_symbol
_atom_site_fract_x
_atom_site_fract_y
_atom_site_fract_z
Nd1 Nd 0.0000 0.0000 0.0000
Sm1 Sm 0.2500 0.2500 0.2500
Ho1 Ho 0.0000 0.0000 0.5000
```

Computed properties:
**Raw total energy**: -72.8 eV per cell
**Energy above the lowest structure with this stoichiometry**: 129 meV per atom
**Spin magnetization**: 0.00 μB per formula unit

---

(5)
Here is Nd3Sm6Ho after structural relaxation from the Alexandria database. Energies are from PBE-GGA.

CIF file:
```
data_Nd3Sm6Ho
_chemical_formula_sum 'Nd12 Sm24 Ho4'
_cell_length_a 10.9897
_cell_length_b 19.2381
_cell_length_c 6.4751
_cell_angle_alpha 90.00
_cell_angle_beta 90.00
_cell_angle_gamma 90.00
_space_group_name_H-M_alt 'C m c 21'
_space_group_IT_number 36
_space_group_name_Hall 'C 2c -2'
loop_
_atom_site_label
_atom_site_type_symbol
_atom_site_fract_x
_atom_site_fract_y
_atom_site_fract_z
Nd1 Nd 0.0000 0.1142 0.0000
Nd2 Nd 0.1748 0.3843 0.3858
Sm1 Sm 0.0000 0.2252 0.5733
Sm2 Sm 0.0000 0.4644 0.7852
Sm3 Sm 0.1701 0.0432 0.4782
Sm4 Sm 0.2343 0.2090 0.2902
Ho1 Ho 0.0000 0.3083 0.0402
```

Computed properties:
**Raw total energy**: -183.2 eV per cell
**Energy above the lowest structure with this stoichiometry**: 0 meV per atom
**Spin magnetization**: 0.00 μB per formula unit

---

(6)
Here is Nd7SmHo3 after structural relaxation from the Alexandria database. Energies are from PBE-GGA.

CIF file:
```
data_Nd7SmHo3
_chemical_formula_sum 'Nd14 Sm2 Ho6'
_cell_length_a 5.9302
_cell_length_b 11.3703
_cell_length_c 11.4303
_cell_angle_alpha 90.00
_cell_angle_beta 90.00
_cell_angle_gamma 90.00
_space_group_name_H-M_alt 'I m m m'
_space_group_IT_number 71
_space_group_name_Hall '-I 2 2'
loop_
_atom_site_label
_atom_site_type_symbol
_atom_site_fract_x
_atom_site_fract_y
_atom_site_fract_z
Nd1 Nd 0.0000 0.0000 0.0000
Nd2 Nd 0.0000 0.2088 0.5000
Nd3 Nd 0.0000 0.3053 0.2082
Sm1 Sm 0.0000 0.5000 0.5000
Ho1 Ho 0.0000 0.0000 0.2967
Ho2 Ho 0.0000 0.5000 0.0000
```

Computed properties:
**Raw total energy**: -98.8 eV per cell
**Energy above the lowest structure with this stoichiometry**: 43 meV per atom
**Spin magnetization**: 0.05 μB per formula unit

---

(7)
Here is Nd2Sm3Ho3 after structural relaxation from the Alexandria database. Energies are from PBE-GGA.

CIF file:
```
data_Nd2Sm3Ho3
_chemical_formula_sum 'Nd8 Sm12 Ho12'
_cell_length_a 5.6146
_cell_length_b 11.9688
_cell_length_c 16.0517
_cell_angle_alpha 90.00
_cell_angle_beta 90.00
_cell_angle_gamma 90.00
_space_group_name_H-M_alt 'C m c m'
_space_group_IT_number 63
_space_group_name_Hall '-C 2c 2'
loop_
_atom_site_label
_atom_site_type_symbol
_atom_site_fract_x
_atom_site_fract_y
_atom_site_fract_z
Nd1 Nd 0.0000 0.2198 0.1276
Sm1 Sm 0.0000 0.0773 0.5933
Sm2 Sm 0.0000 0.2654 0.7500
Ho1 Ho 0.0000 0.3820 0.5504
Ho2 Ho 0.0000 0.4589 0.2500
```

Computed properties:
**Raw total energy**: -145.5 eV per cell
**Energy above the lowest structure with this stoichiometry**: 113 meV per atom
**Spin magnetization**: 0.00 μB per formula unit

---

(8)
Here is NdSm3Ho2 after structural relaxation from the Alexandria database. Energies are from PBE-GGA.

CIF file:
```
data_NdSm3Ho2
_chemical_formula_sum 'Nd2 Sm6 Ho4'
_cell_length_a 3.4936
_cell_length_b 5.9393
_cell_length_c 19.6681
_cell_angle_alpha 90.00
_cell_angle_beta 90.00
_cell_angle_gamma 90.00
_space_group_name_H-M_alt 'I m m m'
_space_group_IT_number 71
_space_group_name_Hall '-I 2 2'
loop_
_atom_site_label
_atom_site_type_symbol
_atom_site_fract_x
_atom_site_fract_y
_atom_site_fract_z
Nd1 Nd 0.0000 0.0000 0.0000
Sm1 Sm 0.0000 0.0000 0.1925
Sm2 Sm 0.0000 0.5000 0.0000
Ho1 Ho 0.0000 0.0000 0.3622
```

Computed properties:
**Raw total energy**: -52.1 eV per cell
**Energy above the lowest structure with this stoichiometry**: 341 meV per atom
**Spin magnetization**: 0.00 μB per formula unit

---

(9)
Here is Nd7Sm2Ho3 after structural relaxation from the Alexandria database. Energies are from PBE-GGA.

CIF file:
```
data_Nd7Sm2Ho3
_chemical_formula_sum 'Nd7 Sm2 Ho3'
_cell_length_a 6.4948
_cell_length_b 3.5786
_cell_length_c 17.6873
_cell_angle_alpha 90.00
_cell_angle_beta 95.84
_cell_angle_gamma 90.00
_space_group_name_H-M_alt 'P 1 2/m 1'
_space_group_IT_number 10
_space_group_name_Hall '-P 2y'
loop_
_atom_site_label
_atom_site_type_symbol
_atom_site_fract_x
_atom_site_fract_y
_atom_site_fract_z
Nd1 Nd 0.0000 0.0000 0.0000
Nd2 Nd 0.2267 0.5000 0.1710
Nd3 Nd 0.2576 0.5000 0.4949
Nd4 Nd 0.2773 0.0000 0.8345
Sm1 Sm 0.0585 0.5000 0.6703
Ho1 Ho 0.4560 0.0000 0.3409
Ho2 Ho 0.5000 0.5000 0.0000
```

Computed properties:
**Raw total energy**: -55.7 eV per cell
**Energy above the lowest structure with this stoichiometry**: 0 meV per atom
**Spin magnetization**: 0.00 μB per formula unit

---

(10)
Here is NdSm2Ho4 after structural relaxation from the Alexandria database. Energies are from PBE-GGA.

CIF file:
```
data_NdSm2Ho4
_chemical_formula_sum 'Nd2 Sm4 Ho8'
_cell_length_a 16.7891
_cell_length_b 3.5453
_cell_length_c 8.7899
_cell_angle_alpha 90.00
_cell_angle_beta 119.74
_cell_angle_gamma 90.00
_space_group_name_H-M_alt 'C 1 2/m 1'
_space_group_IT_number 12
_space_group_name_Hall '-C 2y'
loop_
_atom_site_label
_atom_site_type_symbol
_atom_site_fract_x
_atom_site_fract_y
_atom_site_fract_z
Nd1 Nd 0.0000 0.0000 0.0000
Sm1 Sm 0.0693 0.0000 0.4284
Ho1 Ho 0.1456 0.5000 0.8414
Ho2 Ho 0.2065 0.5000 0.2937
```

Computed properties:
**Raw total energy**: -64.5 eV per cell
**Energy above the lowest structure with this stoichiometry**: 0 meV per atom
**Spin magnetization**: 0.00 μB per formula unit

---

(11)
Here is Nd6Sm5Ho2 after structural relaxation from the Alexandria database. Energies are from PBE-GGA.

CIF file:
```
data_Nd6Sm5Ho2
_chemical_formula_sum 'Nd12 Sm10 Ho4'
_cell_length_a 11.7996
_cell_length_b 20.8656
_cell_length_c 3.6465
_cell_angle_alpha 90.00
_cell_angle_beta 90.00
_cell_angle_gamma 90.00
_space_group_name_H-M_alt 'P b a m'
_space_group_IT_number 55
_space_group_name_Hall '-P 2 2ab'
loop_
_atom_site_label
_atom_site_type_symbol
_atom_site_fract_x
_atom_site_fract_y
_atom_site_fract_z
Nd1 Nd 0.0619 0.0805 0.0000
Nd2 Nd 0.0827 0.3678 0.0000
Nd3 Nd 0.1740 0.6374 0.5000
Sm1 Sm 0.0000 0.5000 0.5000
Sm2 Sm 0.0886 0.2267 0.5000
Sm3 Sm 0.1975 0.9449 0.5000
Ho1 Ho 0.1687 0.7895 0.0000
```

Computed properties:
**Raw total energy**: -120.3 eV per cell
**Spin magnetization**: 0.00 μB per formula unit

---

(12)
Here is Nd3Sm5Ho after structural relaxation from the Alexandria database. Energies are from PBE-GGA.

CIF file:
```
data_Nd3Sm5Ho
_chemical_formula_sum 'Nd12 Sm20 Ho4'
_cell_length_a 15.4212
_cell_length_b 11.6647
_cell_length_c 9.9506
_cell_angle_alpha 90.00
_cell_angle_beta 129.85
_cell_angle_gamma 90.00
_space_group_name_H-M_alt 'C 1 2/m 1'
_space_group_IT_number 12
_space_group_name_Hall '-C 2y'
loop_
_atom_site_label
_atom_site_type_symbol
_atom_site_fract_x
_atom_site_fract_y
_atom_site_fract_z
Nd1 Nd 0.0000 0.0000 0.0000
Nd2 Nd 0.0000 0.5000 0.5000
Nd3 Nd 0.0057 0.0000 0.3162
Nd4 Nd 0.0158 0.5000 0.8520
Sm1 Sm 0.0000 0.2467 0.5000
Sm2 Sm 0.1528 0.2479 0.2413
Sm3 Sm 0.2254 0.0000 0.7289
Sm4 Sm 0.2252 0.5000 0.5463
Ho1 Ho 0.2476 0.5000 0.9046
```

Computed properties:
**Raw total energy**: -152.2 eV per cell
**Spin magnetization**: 0.00 μB per formula unit

---

(13)
Here is Nd4SmHo3 after structural relaxation from the Alexandria database. Energies are from PBE-GGA.

CIF file:
```
data_Nd4SmHo3
_chemical_formula_sum 'Nd8 Sm2 Ho6'
_cell_length_a 10.2405
_cell_length_b 7.2241
_cell_length_c 7.2229
_cell_angle_alpha 90.00
_cell_angle_beta 90.00
_cell_angle_gamma 90.00
_space_group_name_H-M_alt 'P m n a'
_space_group_IT_number 53
_space_group_name_Hall '-P 2ac 2'
loop_
_atom_site_label
_atom_site_type_symbol
_atom_site_fract_x
_atom_site_fract_y
_atom_site_fract_z
Nd1 Nd 0.0000 0.0000 0.0000
Nd2 Nd 0.0000 0.5000 0.5000
Nd3 Nd 0.2500 0.2490 0.2500
Sm1 Sm 0.0000 0.5000 0.0000
Ho1 Ho 0.0000 0.0000 0.5000
Ho2 Ho 0.2500 0.2484 0.7500
```

Computed properties:
**Raw total energy**: -74.8 eV per cell
**Energy above the lowest structure with this stoichiometry**: 0 meV per atom
**Spin magnetization**: 0.00 μB per formula unit

---

(14)
Here is NdSm8Ho2 after structural relaxation from the Alexandria database. Energies are from PBE-GGA.

CIF file:
```
data_NdSm8Ho2
_chemical_formula_sum 'Nd2 Sm16 Ho4'
_cell_length_a 16.7950
_cell_length_b 6.7515
_cell_length_c 6.7062
_cell_angle_alpha 90.00
_cell_angle_beta 99.77
_cell_angle_gamma 90.00
_space_group_name_H-M_alt 'C 1 2/m 1'
_space_group_IT_number 12
_space_group_name_Hall '-C 2y'
loop_
_atom_site_label
_atom_site_type_symbol
_atom_site_fract_x
_atom_site_fract_y
_atom_site_fract_z
Nd1 Nd 0.0000 0.0000 0.0000
Sm1 Sm 0.0891 0.2630 0.4093
Sm2 Sm 0.0915 0.5000 0.9103
Sm3 Sm 0.2441 0.0000 0.3133
Ho1 Ho 0.2030 0.0000 0.8031
```

Computed properties:
**Raw total energy**: -99.6 eV per cell
**Energy above the lowest structure with this stoichiometry**: 58 meV per atom
**Spin magnetization**: 0.00 μB per formula unit

---

(15)
Here is Nd5Sm12Ho3 after structural relaxation from the Alexandria database. Energies are from PBE-GGA.

CIF file:
```
data_Nd5Sm12Ho3
_chemical_formula_sum 'Nd40 Sm96 Ho24'
_cell_length_a 18.7474
_cell_length_b 18.7474
_cell_length_c 18.7474
_cell_angle_alpha 90.00
_cell_angle_beta 90.00
_cell_angle_gamma 90.00
_space_group_name_H-M_alt 'I a -3 d'
_space_group_IT_number 230
_space_group_name_Hall '-I 4bd 2c 3'
loop_
_atom_site_label
_atom_site_type_symbol
_atom_site_fract_x
_atom_site_fract_y
_atom_site_fract_z
Nd1 Nd 0.0000 0.0000 0.0000
Nd2 Nd 0.0000 0.2500 0.3750
Sm1 Sm 0.0089 0.0828 0.6476
Ho1 Ho 0.0000 0.2500 0.1250
```

Computed properties:
**Raw total energy**: -596.2 eV per cell
**Spin magnetization**: 0.03 μB per formula unit

---

(16)
Here is Nd6Sm2Ho3 after structural relaxation from the Alexandria database. Energies are from PBE-GGA.

CIF file:
```
data_Nd6Sm2Ho3
_chemical_formula_sum 'Nd6 Sm2 Ho3'
_cell_length_a 6.2861
_cell_length_b 8.0903
_cell_length_c 8.1246
_cell_angle_alpha 107.44
_cell_angle_beta 97.30
_cell_angle_gamma 104.87
_space_group_name_H-M_alt 'P -1'
_space_group_IT_number 2
_space_group_name_Hall '-P 1'
loop_
_atom_site_label
_atom_site_type_symbol
_atom_site_fract_x
_atom_site_fract_y
_atom_site_fract_z
Nd1 Nd 0.0466 0.1825 0.4094
Nd2 Nd 0.1368 0.5460 0.2307
Nd3 Nd 0.3192 0.2724 0.8646
Sm1 Sm 0.2291 0.9103 0.0471
Ho1 Ho 0.4096 0.6374 0.6812
Ho2 Ho 0.5000 0.0000 0.5000
```

Computed properties:
**Raw total energy**: -51.6 eV per cell
**Energy above the lowest structure with this stoichiometry**: 0 meV per atom
**Spin magnetization**: 0.00 μB per formula unit

---

(17)
Here is Nd2Sm4Ho3 after structural relaxation from the Alexandria database. Energies are from PBE-GGA.

CIF file:
```
data_Nd2Sm4Ho3
_chemical_formula_sum 'Nd2 Sm4 Ho3'
_cell_length_a 3.6239
_cell_length_b 3.6239
_cell_length_c 26.7354
_cell_angle_alpha 90.00
_cell_angle_beta 90.00
_cell_angle_gamma 120.00
_space_group_name_H-M_alt 'P 3 m 1'
_space_group_IT_number 156
_space_group_name_Hall 'P 3 -2"'
loop_
_atom_site_label
_atom_site_type_symbol
_atom_site_fract_x
_atom_site_fract_y
_atom_site_fract_z
Nd1 Nd 0.0000 0.0000 0.0000
Nd2 Nd 0.0000 0.0000 0.2158
Sm1 Sm 0.0000 0.0000 0.3494
Sm2 Sm 0.0000 0.0000 0.5622
Sm3 Sm 0.3333 0.6667 0.6728
Sm4 Sm 0.3333 0.6667 0.8874
Ho1 Ho 0.0000 0.0000 0.7802
Ho2 Ho 0.3333 0.6667 0.1098
Ho3 Ho 0.3333 0.6667 0.4539
```

Computed properties:
**Raw total energy**: -41.7 eV per cell
**Energy above the lowest structure with this stoichiometry**: 0 meV per atom
**Spin magnetization**: 0.00 μB per formula unit

---

The density of states at the Fermi level results, record by record, are as follows: 1.43; 1.75; 1.58; 2.72; 1.30; 1.40; 1.52; 1.98; 1.49; 1.37; 1.17; 1.52; 1.48; 1.62; 2.05; 1.33; 1.85 states/eV/atom.